Record 1
Entry from Alexandria: an optimized crystal structure of Cs2KAgF5 (GGA-PBE).

Calculated values
E   -3.8284 eV/atom
N(E_F)   0.555 states/eV/atom
Formation energy from raw total energies   -2.160 eV/atom
SG   Immm, No. 71

Unit cell a=8.079 b=8.079 c=8.079 alpha=149.02 beta=131.79 gamma=58.42
Positions (direct):
Cs1 0.212 0.212 0.000
Cs2 0.788 0.788 0.000
K1 0.500 0.000 0.500
Ag1 0.000 0.500 0.500
F1 0.000 0.000 0.000
F2 0.134 0.385 0.749
F3 0.364 0.615 0.749
F4 0.636 0.385 0.251
F5 0.866 0.615 0.251

***

Record 2
Entry from Alexandria: an optimized crystal structure of Cs2KAgF6 (GGA-PBE).

Calculated values
E   -3.8420 eV/atom
Formation energy from raw total energies   -2.154 eV/atom
SG   Fm-3m, No. 225

Unit cell a=6.645 b=6.645 c=6.645 alpha=60.00 beta=60.00 gamma=60.00
Positions (direct):
Cs1 0.250 0.250 0.250
Cs2 0.750 0.750 0.750
K1 0.000 0.000 0.000
Ag1 0.500 0.500 0.500
F1 0.274 0.274 0.726
F2 0.274 0.726 0.274
F3 0.274 0.726 0.726
F4 0.726 0.274 0.274
F5 0.726 0.274 0.726
F6 0.726 0.726 0.274

***

Record 3
Entry from Alexandria: an optimized crystal structure of Cs2LaAgF6 (GGA-PBE).

Calculated values
E   -5.0156 eV/atom
N(E_F)   0.000 states/eV/atom
Formation energy from raw total energies   -2.944 eV/atom
SG   Fm-3m, No. 225

Unit cell a=6.803 b=6.803 c=6.803 alpha=60.00 beta=60.00 gamma=60.00
Positions (direct):
Cs1 0.250 0.250 0.250
Cs2 0.750 0.750 0.750
La1 0.000 0.000 0.000
Ag1 0.500 0.500 0.500
F1 0.241 0.241 0.759
F2 0.241 0.759 0.241
F3 0.241 0.759 0.759
F4 0.759 0.241 0.241
F5 0.759 0.241 0.759
F6 0.759 0.759 0.241